# 1
Computed, not measured: a relaxed structure of LuUNiOs at the PBE level of DFT.

Unit cell a=4.7364 b=4.7364 c=4.7364 alpha=60.00 beta=60.00 gamma=60.00
Fractional coordinates of all 4 atoms:
Os 0.5000 0.5000 0.5000
Lu 0.7500 0.7500 0.7500
U 0.2500 0.2500 0.2500
Ni 0.0000 0.0000 0.0000

# 2
Computed, not measured: a relaxed structure of LuVNiOs at the PBE level of DFT.

Unit cell a=4.4587 b=4.4587 c=4.4587 alpha=60.00 beta=60.00 gamma=60.00
Fractional coordinates of all 4 atoms:
V 0.0000 0.0000 0.0000
Os 0.7500 0.7500 0.7500
Ni 0.2500 0.2500 0.2500
Lu 0.5000 0.5000 0.5000

# 3
Computed, not measured: a relaxed structure of LuZrNiOs at the PBE level of DFT.

Unit cell a=4.6539 b=4.6539 c=4.6539 alpha=60.00 beta=60.00 gamma=60.00
Fractional coordinates of all 4 atoms:
Ni 0.7500 0.7500 0.7500
Zr 0.5000 0.5000 0.5000
Lu 0.0000 0.0000 0.0000
Os 0.2500 0.2500 0.2500

# 4
Computed, not measured: a relaxed structure of LuNi4P2 at the PBE level of DFT.

Unit cell a=7.0438 b=7.0438 c=3.5815 alpha=90.00 beta=90.00 gamma=90.00
Fractional coordinates of all 14 atoms:
Lu 0.5000 0.5000 0.0000
Ni 0.0834 0.3340 0.0000
Ni 0.4166 0.8340 0.5000
Ni 0.3340 0.0834 0.0000
Ni 0.1660 0.5834 0.5000
P 0.2794 0.2794 0.5000
Lu 0.0000 0.0000 0.5000
P 0.2206 0.7794 0.0000
P 0.7794 0.2206 0.0000
Ni 0.5834 0.1660 0.5000
Ni 0.6660 0.9166 0.0000
P 0.7206 0.7206 0.5000
Ni 0.8340 0.4166 0.5000
Ni 0.9166 0.6660 0.0000

Calculated formation energy
In order: -0.172; -0.131; -0.445; -0.836
Unit: eV per atom